Computed, not measured: crystalline SrRh2Au at its relaxed geometry at the PBE level of DFT.

Properties
DFT formation energy, eV/f.u.: -0.1
N(E_F), states/eV per cell: 4.24
Size of the total moment, μB per formula unit: 0.00
E_tot, eV/atom: -4.934
SG: Pmm2 (25)
Density, g cm⁻³: 10.19

Unit cell a=3.0105 b=3.7456 c=7.0875 alpha=90.00 beta=90.00 gamma=90.00
Closest atoms and distances in Å follow each position.
Element x y z (fractional)
Sr 0.0000 0.0000 0.4887  2 Sr 3.01, 5 Rh 3.21-3.24, 4 Au 3.23
Rh 0.5000 0.5000 0.1829  4 Rh 2.62, 1 Au 2.77
Au 0.5000 0.5000 0.7923  5 Rh 2.77-2.96, 2 Au 3.01
Rh 0.0000 0.0000 0.0362  4 Rh 2.62